# 1
A plane-wave DFT calculation with PBE was carried out for crystalline ScCuS3 at its relaxed geometry.

Cell lengths 4.4851, 4.4851, 4.4851 Å; angles 90.00, 90.00, 90.00 degrees
Fractional coordinates of all 5 atoms:
Cu 0.0000 0.0000 0.0000
S 0.0000 0.5000 0.0000
S 0.0000 0.0000 0.5000
Sc 0.5000 0.5000 0.5000
S 0.5000 0.0000 0.0000

Output
* energy above the most stable polymorph in this dataset: 0 meV per atom
* crystal system: cubic
* formation energy without anion corrections: -0.262 eV/atom

---

# 2
A plane-wave DFT calculation with PBE was carried out for crystalline Nb4AlMo at its relaxed geometry.

Cell lengths 4.3700, 4.3687, 7.7254 Å; angles 73.57, 73.57, 59.99 degrees
Fractional coordinates of all 6 atoms:
Nb 0.3754 0.3753 0.8739
Mo 0.0000 0.0000 0.0000
Al 0.5000 0.5000 0.5000
Nb 0.8771 0.8771 0.3687
Nb 0.1229 0.1229 0.6313
Nb 0.6246 0.6247 0.1261

Output
* crystal system: trigonal

---

# 3
A plane-wave DFT calculation with PBE was carried out for crystalline PuTi4Rh5 at its relaxed geometry.

Cell lengths 3.1161, 3.1161, 16.1270 Å; angles 90.00, 90.00, 90.00 degrees
Fractional coordinates of all 10 atoms:
Ti 0.0000 0.0000 0.5958
Rh 0.5000 0.5000 0.5000
Pu 0.0000 0.0000 0.0000
Ti 0.0000 0.0000 0.4042
Rh 0.5000 0.5000 0.3111
Ti 0.0000 0.0000 0.7880
Rh 0.5000 0.5000 0.8779
Rh 0.5000 0.5000 0.1221
Rh 0.5000 0.5000 0.6889
Ti 0.0000 0.0000 0.2120

Output
* crystal system: tetragonal

---

# 4
A plane-wave DFT calculation with PBE was carried out for crystalline TiB2F at its relaxed geometry.

Cell lengths 7.2214, 7.2214, 5.4121 Å; angles 48.15, 48.15, 90.00 degrees
Fractional coordinates of all 8 atoms:
B 0.1037 0.6250 0.2500
Ti 0.7500 0.2500 0.5000
Ti 0.0000 0.0000 0.0000
F 0.2500 0.7500 0.5000
B 0.6463 0.1250 0.2500
B 0.8750 0.8963 0.7500
F 0.5000 0.5000 0.0000
B 0.3750 0.3537 0.7500

Output
* energy above the most stable polymorph in this dataset: 0 meV per atom
* crystal system: tetragonal
* formation energy without anion corrections: -0.253 eV/atom

---

# 5
A plane-wave DFT calculation with PBE was carried out for crystalline Cs2GePtAu at its relaxed geometry.

Cell lengths 6.8193, 6.8193, 4.6843 Å; angles 90.00, 90.00, 90.00 degrees
Fractional coordinates of all 5 atoms:
Ge 0.0000 0.0000 0.5000
Cs 0.0000 0.5000 0.0000
Au 0.5000 0.5000 0.5000
Cs 0.5000 0.0000 0.0000
Pt 0.0000 0.0000 0.0000

Output
* crystal system: tetragonal

---

# 6
A plane-wave DFT calculation with PBE was carried out for crystalline CaNb2BiI at its relaxed geometry.

Cell lengths 5.3993, 5.5607, 5.3993 Å; angles 90.00, 90.00, 90.00 degrees
Fractional coordinates of all 5 atoms:
I 0.5000 0.5000 0.5000
Nb 0.5000 0.0000 0.0000
Nb 0.0000 0.0000 0.5000
Bi 0.0000 0.5000 0.0000
Ca 0.0000 0.0000 0.0000

Output
* crystal system: tetragonal
* formation energy without anion corrections: 1.870 eV/atom

---

# 7
A plane-wave DFT calculation with PBE was carried out for crystalline NaCaSnBi at its relaxed geometry.

Cell lengths 4.7145, 4.8986, 4.9247 Å; angles 90.00, 90.00, 90.00 degrees
Fractional coordinates of all 4 atoms:
Bi 0.5000 0.0000 0.5000
Na 0.0000 0.5000 0.5000
Ca 0.0000 0.0000 0.0000
Sn 0.5000 0.5000 0.0000

Output
* energy above the most stable polymorph in this dataset: 0 meV per atom
* crystal system: orthorhombic

---

# 8
A plane-wave DFT calculation with PBE was carried out for crystalline InSi2Au at its relaxed geometry.

Cell lengths 5.7065, 5.7065, 5.7065 Å; angles 139.67, 139.67, 58.36 degrees
Fractional coordinates of all 4 atoms:
Au 0.2500 0.7500 0.5000
Si 0.5000 0.5000 0.0000
In 0.7500 0.2500 0.5000
Si 0.0000 0.0000 0.0000

Output
* crystal system: tetragonal
* formation energy without anion corrections: 0.392 eV/atom

---

Record-wise magnetic moment values, in μB per formula unit: 0.0, 0.0, 0.2, 0.3, 0.0, 4.4, 0.0, 0.0
Record-wise total energy values, in eV/atom: -4.82, -8.64, -8.78, -6.03, -3.24, -3.64, -3.27, -3.82